A plane-wave DFT calculation with PBE-GGA was carried out for HoSnPO after structural relaxation.

Cell lengths 3.949, 8.257, 5.883 Å; angles 90.00, 90.00, 90.00 degrees
Space group Pmc2_1 (No. 26)
Asymmetric unit:
Ho1 0.000 0.156 0.000 (multiplicity 2)
Sn1 0.500 0.366 0.594 (multiplicity 2)
P1 0.000 0.176 0.476 (multiplicity 2)
O1 0.500 0.240 0.927 (multiplicity 2)

Calculated values
Magnetization, μB/f.u.: 0.0
Energy above the lowest structure with this stoichiometry, meV/atom: 0

A plane-wave DFT calculation with PBE-GGA was carried out for BeFe5 after structural relaxation.

Cell lengths 4.5502, 4.5502, 4.0167 Å; angles 90.00, 90.00, 120.00 degrees
Space group P6/mmm (No. 191)
Asymmetric unit:
Be1 0.0000 0.0000 0.0000 (multiplicity 1)
Fe1 0.0000 0.5000 0.5000 (multiplicity 3)
Fe2 0.3333 0.6667 0.0000 (multiplicity 2)

Calculated values
Magnetization, μB/f.u.: 9.0

A plane-wave DFT calculation with PBE-GGA was carried out for SmB after structural relaxation.

Cell lengths 5.866, 5.866, 5.866 Å; angles 90.00, 90.00, 90.00 degrees
Space group F-43m (No. 216)
Asymmetric unit:
Sm1 0.000 0.000 0.000 (multiplicity 4)
B1 0.250 0.250 0.250 (multiplicity 4)

Calculated values
Magnetization, μB/f.u.: 0.1
Energy above the lowest structure with this stoichiometry, meV/atom: 458

A plane-wave DFT calculation with PBE-GGA was carried out for Cd2BO4 after structural relaxation.

Cell lengths 8.432, 8.432, 8.432 Å; angles 90.00, 90.00, 90.00 degrees
Space group Fd-3m (No. 227, origin choice 2)
Asymmetric unit:
Cd1 0.000 0.000 0.000 (multiplicity 16)
B1 0.125 0.125 0.625 (multiplicity 8)
O1 0.022 0.022 0.728 (multiplicity 32)

A plane-wave DFT calculation with PBE-GGA was carried out for NaAgTePbSe2 after structural relaxation.

Cell lengths 3.906, 14.410, 11.913 Å; angles 90.00, 90.00, 90.00 degrees
Space group Cmcm (No. 63)
Asymmetric unit:
Na1 0.000 0.216 0.250 (multiplicity 4)
Ag1 0.000 0.461 0.750 (multiplicity 4)
Te1 0.000 0.101 0.750 (multiplicity 4)
Pb1 0.000 0.000 0.000 (multiplicity 4)
Se1 0.000 0.360 0.565 (multiplicity 8)

A plane-wave DFT calculation with PBE-GGA was carried out for LaTbIn5 after structural relaxation.

Cell lengths 4.806, 4.806, 8.609 Å; angles 90.00, 90.00, 90.00 degrees
Space group P4/mmm (No. 123)
Asymmetric unit:
La1 0.000 0.000 0.000 (multiplicity 1)
Tb1 0.000 0.000 0.500 (multiplicity 1)
In1 0.000 0.500 0.271 (multiplicity 4)
In2 0.500 0.500 0.000 (multiplicity 1)

Calculated values
Magnetization, μB/f.u.: 0.0

A plane-wave DFT calculation with PBE-GGA was carried out for Li4ZnGeIr2 after structural relaxation.

Cell lengths 4.242, 4.242, 5.914 Å; angles 90.00, 90.00, 90.00 degrees
Space group P-4m2 (No. 115)
Asymmetric unit:
Li1 0.000 0.000 0.000 (multiplicity 1)
Li2 0.000 0.500 0.746 (multiplicity 2)
Li3 0.500 0.500 0.500 (multiplicity 1)
Zn1 0.000 0.000 0.500 (multiplicity 1)
Ge1 0.500 0.500 0.000 (multiplicity 1)
Ir1 0.000 0.500 0.235 (multiplicity 2)

Calculated values
Magnetization, μB/f.u.: 0.0

A plane-wave DFT calculation with PBE-GGA was carried out for Ho3Cd3In2Ag after structural relaxation.

Cell lengths 7.4816, 7.4816, 4.5067 Å; angles 90.00, 90.00, 120.00 degrees
Space group P-62m (No. 189)
Asymmetric unit:
Ho1 0.0000 0.4155 0.0000 (multiplicity 3)
Cd1 0.0000 0.7595 0.5000 (multiplicity 3)
In1 0.3333 0.6667 0.5000 (multiplicity 2)
Ag1 0.0000 0.0000 0.0000 (multiplicity 1)

Calculated values
Magnetization, μB/f.u.: 0.0

Number 1: final energy -6.19 eV/atom. Number 2: final energy -7.13 eV/atom. Number 3: final energy -4.79 eV/atom. Number 4: final energy -5.13 eV/atom. Number 5: final energy -3.29 eV/atom. Number 6: final energy -3.65 eV/atom. Number 7: final energy -4.26 eV/atom. Number 8: final energy -3.13 eV/atom.